# 1
# Li2TaAlPb

A crystal of Li2TaAlPb relaxed with PBEsol (SCAN, Alexandria).

For the total magnetization, the calculation gives 0.664 μB per atom. The value obtained for the formation energy is 1.252 eV/atom. The value obtained for the density of states at the Fermi level is 3.14 states/eV/cell. As for the uncorrected energy: -29.73 eV/atom.

Lattice parameters (Å, degrees): 5.1029 5.1029 5.3628 90.00 90.00 90.00
Each line ends with the local moment (μB).
Positions (direct):
Li1 0.0000 0.5000 0.0000  0.07
Li2 0.5000 0.0000 0.0000  0.07
Al1 0.5000 0.5000 0.5000  0.01
Pb1 0.0000 0.0000 0.5000  0.02
Ta1 0.0000 0.0000 0.0000  1.96

***

# 2
# Y2MgZn

A crystal of Y2MgZn relaxed with PBEsol (SCAN, Alexandria).

For the total magnetization, the calculation gives 0.217 μB per atom. The value obtained for the formation energy is -0.205 eV/atom. The value obtained for the density of states at the Fermi level is 3.15 states/eV/cell. As for the uncorrected energy: -18.75 eV/atom.

Lattice parameters (Å, degrees): 3.5323 5.1398 6.1475 114.74 106.70 90.00
Each line ends with the local moment (μB).
Positions (direct):
Y1 0.9954 0.9954 0.9909  0.26
Y2 0.7790 0.2790 0.5579  0.24
Mg1 0.2111 0.7110 0.4221  0.01
Zn1 0.5145 0.5146 0.0291  0.02

***

- What is the total magnetization in the first record?
  0.664 μB per atom

***

- Which formula does entry 2 have?
  Y2MgZn

***

- Look up the total magnetization of the first one.
  0.664 μB per atom

***

- The highest total magnetization belongs to which entry?
  Li2TaAlPb